# LiZrTe2AuSe (PBE, optimized geometry)
data_LiZrTe2AuSe
_chemical_formula_sum 'Li4 Zr4 Te8 Au4 Se4'
_cell_length_a 4.0015
_cell_length_b 15.1729
_cell_length_c 10.4615
_cell_angle_alpha 90.00
_cell_angle_beta 90.00
_cell_angle_gamma 90.00
_symmetry_space_group_name_H-M 'C m c m'
_symmetry_Int_Tables_number 63
_symmetry_space_group_name_Hall '-C 2c 2'
loop_
_atom_site_label
_atom_site_type_symbol
_atom_site_fract_x
_atom_site_fract_y
_atom_site_fract_z
Li1 Li 0.0000 0.1688 0.2500
Zr1 Zr 0.0000 0.0000 0.0000
Te1 Te 0.0000 0.3566 0.5332
Au1 Au 0.0000 0.4573 0.7500
Se1 Se 0.0000 0.0702 0.7500
# VASP energy in eV/cell: -111.32
# Magnetization in μB per formula unit: 0.001